i) LaRhC | PBE-GGA | optimized geometry Values from VASP.

Computed properties:
Total magnetic moment   0.00 μB per atom
Density   7.52 g/cm³

Geometry as Quantum ESPRESSO input:
```
&SYSTEM
  ibrav = 0, nat = 6, ntyp = 3
/
ATOMIC_SPECIES
La 138.91 La.upf
Rh 102.91 Rh.upf
C 12.01 C.upf
CELL_PARAMETERS angstrom
3.745 0.000 0.000
0.000 5.738 -0.002
0.000 -2.867 5.220
ATOMIC_POSITIONS angstrom
La 1.353 2.197 2.773
La 1.353 -0.671 5.026
Rh 3.226 2.198 5.157
Rh 3.226 -0.671 2.642
C 3.226 0.761 1.289
C 3.226 3.632 1.290
```

ii) LaRhC | PBE-GGA | optimized geometry Values from VASP.

Computed properties:
Total magnetic moment   0.00 μB per atom
Density   8.32 g/cm³

Geometry as Quantum ESPRESSO input:
```
&SYSTEM
  ibrav = 0, nat = 12, ntyp = 3
/
ATOMIC_SPECIES
Rh 102.91 Rh.upf
C 12.01 C.upf
La 138.91 La.upf
CELL_PARAMETERS angstrom
5.874 0.000 0.000
0.000 5.874 0.000
0.000 0.000 5.874
ATOMIC_POSITIONS angstrom
Rh 1.998 3.876 0.939
Rh 0.939 1.998 3.876
Rh 3.876 0.939 1.998
Rh 4.935 4.935 4.935
C 2.490 2.490 2.490
C 0.447 3.384 5.427
C 5.427 0.447 3.384
C 3.384 5.427 0.447
La 0.904 0.904 0.904
La 3.841 2.033 4.970
La 2.033 4.970 3.841
La 4.970 3.841 2.033
```

Of them, i) has the lowest stability.

i) LaRuC3 | PBE-GGA | optimized geometry Values from VASP.

Computed properties:
Total magnetic moment   0.00 μB per atom
Density   5.83 g/cm³

Geometry as Quantum ESPRESSO input:
```
&SYSTEM
  ibrav = 0, nat = 5, ntyp = 3
/
ATOMIC_SPECIES
Ru 101.07 Ru.upf
C 12.01 C.upf
La 138.91 La.upf
CELL_PARAMETERS angstrom
4.285 0.000 0.000
0.000 4.285 0.000
0.000 0.000 4.285
ATOMIC_POSITIONS angstrom
Ru 2.142 2.142 2.142
C 0.000 2.142 0.000
C 0.000 0.000 2.142
C 2.142 0.000 0.000
La 0.000 0.000 0.000
```

ii) LaRuC3 | PBE-GGA | optimized geometry Values from VASP.

Computed properties:
Total magnetic moment   0.00 μB per atom
Density   6.96 g/cm³

Geometry as Quantum ESPRESSO input:
```
&SYSTEM
  ibrav = 0, nat = 5, ntyp = 3
/
ATOMIC_SPECIES
Ru 101.07 Ru.upf
C 12.01 C.upf
La 138.91 La.upf
CELL_PARAMETERS angstrom
4.037 0.000 0.000
0.000 4.037 0.000
0.000 0.000 4.037
ATOMIC_POSITIONS angstrom
Ru 0.000 0.000 0.000
C 0.000 2.019 0.000
C 0.000 0.000 2.019
C 2.019 0.000 0.000
La 2.019 2.019 2.019
```

Of them, i) has the lowest stability.

i) LaRu2C2 | PBE-GGA | optimized geometry Values from VASP.

Computed properties:
Total magnetic moment   0.00 μB per atom
Density   8.47 g/cm³

Geometry as Quantum ESPRESSO input:
```
&SYSTEM
  ibrav = 0, nat = 10, ntyp = 3
/
ATOMIC_SPECIES
La 138.91 La.upf
Ru 101.07 Ru.upf
C 12.01 C.upf
CELL_PARAMETERS angstrom
-0.975 -2.719 4.760
4.876 -1.588 -2.170
0.328 5.726 1.211
ATOMIC_POSITIONS angstrom
La 2.440 0.923 3.718
La 1.789 0.496 0.084
Ru 4.748 0.519 -0.427
Ru 3.449 3.099 1.911
Ru -0.519 0.900 4.229
Ru 0.780 -1.680 1.891
C 1.555 3.282 1.161
C -0.073 0.136 2.289
C 4.302 1.283 1.513
C 2.674 -1.863 2.641
```

ii) LaRu2C2 | PBE-GGA | optimized geometry Values from VASP.

Computed properties:
Total magnetic moment   0.00 μB per atom
Density   8.16 g/cm³

Geometry as Quantum ESPRESSO input:
```
&SYSTEM
  ibrav = 0, nat = 5, ntyp = 3
/
ATOMIC_SPECIES
La 138.91 La.upf
Ru 101.07 Ru.upf
C 12.01 C.upf
CELL_PARAMETERS angstrom
3.794 0.000 0.000
0.000 3.794 0.000
-1.897 -1.897 5.158
ATOMIC_POSITIONS angstrom
La 0.000 0.000 0.000
Ru 1.897 0.000 2.579
Ru 0.000 1.897 2.579
C 1.897 1.897 1.702
C 0.000 0.000 3.456
```

Of them, ii) has the lowest stability.

i) LaRuC | PBE-GGA | optimized geometry Values from VASP.

Computed properties:
Total magnetic moment   0.00 μB per atom
Density   8.08 g/cm³

Geometry as Quantum ESPRESSO input:
```
&SYSTEM
  ibrav = 0, nat = 3, ntyp = 3
/
ATOMIC_SPECIES
Ru 101.07 Ru.upf
C 12.01 C.upf
La 138.91 La.upf
CELL_PARAMETERS angstrom
-2.623 1.001 4.154
2.860 -0.381 1.898
-0.828 3.103 -1.271
ATOMIC_POSITIONS angstrom
Ru -0.082 2.126 0.551
C -0.273 0.104 0.432
La -0.236 1.493 3.798
```

ii) LaRuC | PBE-GGA | optimized geometry Values from VASP.

Computed properties:
Total magnetic moment   0.00 μB per atom
Density   7.56 g/cm³

Geometry as Quantum ESPRESSO input:
```
&SYSTEM
  ibrav = 0, nat = 6, ntyp = 3
/
ATOMIC_SPECIES
La 138.91 La.upf
Ru 101.07 Ru.upf
C 12.01 C.upf
CELL_PARAMETERS angstrom
-2.430 0.839 -2.117
3.207 -1.890 -4.430
-0.577 -5.950 0.924
ATOMIC_POSITIONS angstrom
La -0.880 -1.904 -2.364
La 1.081 -5.096 -3.260
Ru -2.124 -4.839 -2.100
Ru 2.324 -2.161 -3.524
C 1.604 -0.945 -2.215
C -1.215 0.420 -1.059
```

Of them, ii) has the lowest stability.